# 1
An optimized crystal structure of Tl2CI. Source: the Alexandria database, functional PBE-GGA.

Cell lengths 7.480, 7.480, 7.480 Å; angles 126.92, 126.92, 78.37 degrees
Sites, in units of the cell vectors:
Tl 0.375 0.239 0.364
Tl 0.761 0.125 0.136
Tl 0.875 0.011 0.636
Tl 0.989 0.625 0.864
C 0.000 0.000 0.000
C 0.750 0.250 0.500
I 0.250 0.750 0.500
I 0.500 0.500 0.000

- Uncorrected energy: -3.118 eV per atom
- ΔE_f (raw): 3.03 eV per formula unit
- Energy relative to the lowest polymorph listed for this composition: 0 kJ/mol of formula units

# 2
An optimized crystal structure of Tl3CI. Source: the Alexandria database, functional PBE-GGA.

Cell lengths 5.282, 5.282, 5.282 Å; angles 90.00, 90.00, 90.00 degrees
Sites, in units of the cell vectors:
Tl 0.000 0.000 0.500
Tl 0.000 0.500 0.000
Tl 0.500 0.000 0.000
C 0.000 0.000 0.000
I 0.500 0.500 0.500

- Uncorrected energy: -2.940 eV per atom
- ΔE_f (raw): 3.17 eV per formula unit
- Energy relative to the lowest polymorph listed for this composition: 0 kJ/mol of formula units

# 3
An optimized crystal structure of TlC3I. Source: the Alexandria database, functional PBE-GGA.

Cell lengths 4.342, 4.342, 4.342 Å; angles 90.00, 90.00, 90.00 degrees
Sites, in units of the cell vectors:
Tl 0.000 0.000 0.000
C 0.000 0.500 0.500
C 0.500 0.000 0.500
C 0.500 0.500 0.000
I 0.500 0.500 0.500

- Uncorrected energy: -3.071 eV per atom
- ΔE_f (raw): 16.23 eV per formula unit
- Energy relative to the lowest polymorph listed for this composition: 0 kJ/mol of formula units

Please write out number 1 again, unchanged.
An optimized crystal structure of Tl2CI. Source: the Alexandria database, functional PBE-GGA.

Cell lengths 7.480, 7.480, 7.480 Å; angles 126.92, 126.92, 78.37 degrees
Sites, in units of the cell vectors:
Tl 0.375 0.239 0.364
Tl 0.761 0.125 0.136
Tl 0.875 0.011 0.636
Tl 0.989 0.625 0.864
C 0.000 0.000 0.000
C 0.750 0.250 0.500
I 0.250 0.750 0.500
I 0.500 0.500 0.000

- Uncorrected energy: -3.118 eV per atom
- ΔE_f (raw): 3.03 eV per formula unit
- Energy relative to the lowest polymorph listed for this composition: 0 kJ/mol of formula units